Compound: ZrIr2Au
Source: the Alexandria database
Functional: PBE-GGA
Structure: optimized geometry

```
ZrIr2Au
1.0
-6.2858 -6.0918 -2.0317
-6.1100 -6.5161 0.9781
-7.8827 -4.3115 -0.1475
Ir Zr Au
2 1 1
Direct
0.5049 0.5049 0.5049
0.9951 0.9951 0.9951
0.2500 0.2500 0.2500
0.7500 0.7500 0.7500
```

Calculated values
DOS at the Fermi energy (states/eV per cell): 2.12
Size of the total moment (Bohr magnetons per cell): 0.0
Offset from the most stable computed form (eV per atom): 0.5017
E_tot (eV/atom): -7.418
Crystal system: trigonal


Compound: SrEu2Tl
Source: the Alexandria database
Functional: PBE-GGA
Structure: optimized geometry

```
SrEu2Tl
1.0
5.4304 0.0000 0.0000
0.0000 5.1951 0.0000
0.0000 0.0000 5.1951
Tl Eu Sr
1 2 1
Direct
0.5000 0.5000 0.5000
0.0000 0.5000 0.0000
0.0000 0.0000 0.5000
0.5000 0.0000 0.0000
```

Calculated values
DOS at the Fermi energy (states/eV per cell): 14.38
Size of the total moment (Bohr magnetons per cell): 14.9
Offset from the most stable computed form (eV per atom): 0.0731
E_tot (eV/atom): -6.289
Crystal system: tetragonal


- Which formula does entry 1 have?
  ZrIr2Au


- Look up the E_tot of the first one.
  -7.418 eV/atom


- The highest DOS at the Fermi energy belongs to which entry?
  SrEu2Tl